Computed, not measured: an optimized crystal structure of YSiHg2 at the PBE level of DFT.

Properties
Space group: Cmmm
Total DFT energy (no corrections) (eV/atom): -3.182

Cell: 3.859 3.859 6.164 Å, 90.00 90.00 89.84°
Sites, in units of the cell vectors:
Y: 0.500 0.500 0.750
Si: 0.500 0.500 0.250
Hg: 0.000 0.000 0.485
Hg: 0.000 0.000 0.015